Entry from the Alexandria database: a PBEsol-optimized structure of NaFe2PN (SCAN).

abc: 3.722 3.722 4.309
angles: 90.00 90.00 90.00
Site moments in Bohr magnetons follow the coordinates.
Element x y z (fractional)
N1 0.000 0.000 0.000  0.14
P1 0.500 0.500 0.500  0.08
Fe1 0.000 0.500 0.000  2.78
Fe2 0.500 0.000 0.000  2.78
Na1 0.000 0.000 0.500  0.00

Total magnetic moment: 1.18 μB per atom
Total DFT energy (no corrections): -0.8731 Ry per atom
ΔE_f (raw): 0.15 eV per atom

=====

Entry from the Alexandria database: a PBEsol-optimized structure of Sr2ZnAu2 (SCAN).

abc: 4.351 7.697 7.697
angles: 90.00 90.00 90.00
Element x y z (fractional)
Sr1 0.500 0.173 0.673
Sr2 0.500 0.327 0.173
Sr3 0.500 0.673 0.827
Sr4 0.500 0.827 0.327
Au1 0.000 0.631 0.131
Au2 0.000 0.369 0.869
Au3 0.000 0.131 0.369
Au4 0.000 0.869 0.631
Zn1 0.000 0.500 0.500
Zn2 0.000 0.000 0.000

E_form: -325 kJ/mol of formula units
Total magnetic moment: 0.00 μB per atom
Total DFT energy (no corrections): -2.9363 Ry per atom